Material: RbMo2Se
Method: DFT, PBE
State: relaxed

Formation energy from raw total energies   0.92 eV per atom

Lattice parameters (Å, degrees): 4.790 4.790 18.838 90.00 90.00 90.00
Space group I-42d (No. 122)
One atom of each set of equivalent atoms:
Rb1 0.000 0.000 0.000 (multiplicity 4)
Mo1 0.028 0.750 0.625 (multiplicity 8)
Se1 0.000 0.000 0.500 (multiplicity 4)

***

Material: RbMo3Se
Method: DFT, PBE
State: relaxed

Formation energy from raw total energies   3.33 eV per atom

Lattice parameters (Å, degrees): 4.745 4.745 4.745 90.00 90.00 90.00
Space group Pm-3m (No. 221)
One atom of each set of equivalent atoms:
Rb1 0.000 0.000 0.000 (multiplicity 1)
Mo1 0.000 0.000 0.500 (multiplicity 3)
Se1 0.500 0.500 0.500 (multiplicity 1)

***

Material: RbMo6Se7
Method: DFT, PBE
State: relaxed

Formation energy from raw total energies   -0.64 eV per atom

Lattice parameters (Å, degrees): 9.7297 9.7297 24.8457 90.00 90.00 120.00
Space group R-3 (No. 148, hexagonal axes)
One atom of each set of equivalent atoms:
Rb1 0.0000 0.0000 0.1313 (multiplicity 6)
Mo1 0.0154 0.8488 0.5445 (multiplicity 18)
Mo2 0.0217 0.8542 0.3617 (multiplicity 18)
Se1 0.0000 0.0000 0.2802 (multiplicity 6)
Se2 0.0044 0.6279 0.2969 (multiplicity 18)
Se3 0.0092 0.6360 0.1192 (multiplicity 18)